## SrSbPb (GGA-PBEsol)

Data for a geometry-optimized SrSbPb structure.

a = 7.6173 Å, b = 7.6173 Å, c = 7.6173 Å
α = 90.00°, β = 90.00°, γ = 90.00°
Space group F-43m (No. 216)
Symmetry-distinct sites (fractional):
Sr  0.0000  0.0000  0.0000 [4 per cell]
Sb  0.2500  0.2500  0.2500 [4 per cell]
Pb  0.0000  0.0000  0.5000 [4 per cell]

The calculation puts the formation energy from raw total energies at -40.62 kJ/mol of atoms. As for the calculated total energy: -3.89 eV per atom. The value obtained for the offset from the most stable computed form is 0 meV per atom.

## MgSe5 (GGA-PBEsol)

Data for a geometry-optimized MgSe5 structure.

a = 3.4291 Å, b = 3.4291 Å, c = 10.1384 Å
α = 90.00°, β = 90.00°, γ = 90.00°
Space group P4/mmm (No. 123)
Symmetry-distinct sites (fractional):
Mg  0.0000  0.0000  0.0000 [1 per cell]
Se  0.0000  0.0000  0.3456 [2 per cell]
Se  0.5000  0.5000  0.1368 [2 per cell]
Se  0.5000  0.5000  0.5000 [1 per cell]

The calculation puts the formation energy from raw total energies at 5.10 kJ/mol of atoms. As for the calculated total energy: -3.44 eV per atom.

## Mg30AlCuO32 (GGA-PBEsol)

Data for a geometry-optimized Mg30AlCuO32 structure.

a = 8.4172 Å, b = 8.4172 Å, c = 8.4582 Å
α = 90.00°, β = 90.00°, γ = 90.00°
Space group P4/mmm (No. 123)
Symmetry-distinct sites (fractional):
Mg  0.0000  0.0000  0.0000 [1 per cell]
Mg  0.0000  0.0000  0.5000 [1 per cell]
Mg  0.0000  0.2504  0.2489 [8 per cell]
Mg  0.0000  0.5000  0.0000 [2 per cell]
Mg  0.0000  0.5000  0.5000 [2 per cell]
Mg  0.2499  0.2499  0.5000 [4 per cell]
Mg  0.2521  0.2521  0.0000 [4 per cell]
Mg  0.2522  0.5000  0.2467 [8 per cell]
Al  0.5000  0.5000  0.5000 [1 per cell]
Cu  0.5000  0.5000  0.0000 [1 per cell]
O  0.0000  0.0000  0.2514 [2 per cell]
O  0.0000  0.2491  0.0000 [4 per cell]
O  0.0000  0.2515  0.5000 [4 per cell]
O  0.0000  0.5000  0.2537 [4 per cell]
O  0.2414  0.5000  0.0000 [4 per cell]
O  0.2506  0.2506  0.2504 [8 per cell]
O  0.2610  0.5000  0.5000 [4 per cell]
O  0.5000  0.5000  0.2805 [2 per cell]

The calculation puts the formation energy from raw total energies at -258.82 kJ/mol of atoms. As for the calculated total energy: -6.24 eV per atom.

## SnSeIO2 (GGA-PBEsol)

Data for a geometry-optimized SnSeIO2 structure.

a = 4.1808 Å, b = 4.1808 Å, c = 5.5469 Å
α = 90.00°, β = 90.00°, γ = 90.00°
Space group P4/mmm (No. 123)
Symmetry-distinct sites (fractional):
Sn  0.0000  0.0000  0.0000 [1 per cell]
Se  0.5000  0.5000  0.5000 [1 per cell]
I  0.5000  0.5000  0.0000 [1 per cell]
O  0.0000  0.5000  0.5000 [2 per cell]

The calculation puts the formation energy from raw total energies at 10.69 kJ/mol of atoms. As for the calculated total energy: -3.96 eV per atom.

## RbGa2Hg2 (GGA-PBEsol)

Data for a geometry-optimized RbGa2Hg2 structure.

a = 4.6993 Å, b = 4.6993 Å, c = 11.7267 Å
α = 90.00°, β = 90.00°, γ = 90.00°
Space group I4/mmm (No. 139)
Symmetry-distinct sites (fractional):
Rb  0.0000  0.0000  0.0000 [2 per cell]
Ga  0.0000  0.5000  0.2500 [4 per cell]
Hg  0.0000  0.0000  0.3738 [4 per cell]

As for the calculated total energy: -1.87 eV per atom. For the formation energy, the calculation gives -0.1025 eV/atom.

## BaScCu2 (GGA-PBEsol)

Data for a geometry-optimized BaScCu2 structure.

a = 3.4941 Å, b = 4.7428 Å, c = 5.7571 Å
α = 90.00°, β = 90.00°, γ = 90.00°
Space group Pmmm (No. 47)
Symmetry-distinct sites (fractional):
Ba  0.0000  0.0000  0.0000 [1 per cell]
Sc  0.5000  0.5000  0.5000 [1 per cell]
Cu  0.0000  0.0000  0.5000 [1 per cell]
Cu  0.5000  0.5000  0.0000 [1 per cell]

As for the calculated total energy: -3.97 eV per atom. For the formation energy, the calculation gives 0.3864 eV/atom. The value obtained for the offset from the most stable computed form is 130 meV per atom.

## BaNiS2 (GGA-PBEsol)

Data for a geometry-optimized BaNiS2 structure.

a = 4.3514 Å, b = 4.3514 Å, c = 8.7916 Å
α = 90.00°, β = 90.00°, γ = 90.00°
Space group P4/nmm (No. 129, origin choice 2)
Symmetry-distinct sites (fractional):
Ba  0.2500  0.2500  0.1999 [2 per cell]
Ni  0.2500  0.2500  0.5866 [2 per cell]
S  0.2500  0.2500  0.8442 [2 per cell]
S  0.2500  0.7500  0.5000 [2 per cell]

The calculation puts the formation energy from raw total energies at -121.18 kJ/mol of atoms. As for the calculated total energy: -5.52 eV per atom.

## K4LaCu (GGA-PBEsol)

Data for a geometry-optimized K4LaCu structure.

a = 10.3538 Å, b = 10.3538 Å, c = 10.3538 Å
α = 90.00°, β = 90.00°, γ = 90.00°
Space group F-43m (No. 216)
Symmetry-distinct sites (fractional):
K  0.1238  0.1238  0.3762 [16 per cell]
La  0.0000  0.0000  0.0000 [4 per cell]
Cu  0.2500  0.2500  0.7500 [4 per cell]

As for the calculated total energy: -1.53 eV per atom. For the formation energy, the calculation gives 0.8365 eV/atom.

## MnSbMo (GGA-PBEsol)

Data for a geometry-optimized MnSbMo structure.

a = 5.8355 Å, b = 5.8355 Å, c = 5.8355 Å
α = 90.00°, β = 90.00°, γ = 90.00°
Space group F-43m (No. 216)
Symmetry-distinct sites (fractional):
Mn  0.0000  0.0000  0.0000 [4 per cell]
Sb  0.2500  0.2500  0.7500 [4 per cell]
Mo  0.2500  0.2500  0.2500 [4 per cell]

The calculation puts the formation energy from raw total energies at 0.90 kJ/mol of atoms. As for the calculated total energy: -8.69 eV per atom.

## BaFeNF2 (GGA-PBEsol)

Data for a geometry-optimized BaFeNF2 structure.

a = 4.8110 Å, b = 4.8110 Å, c = 5.3137 Å
α = 90.00°, β = 90.00°, γ = 90.00°
Space group P4/mmm (No. 123)
Symmetry-distinct sites (fractional):
Ba  0.0000  0.0000  0.0000 [1 per cell]
Fe  0.5000  0.5000  0.5000 [1 per cell]
N  0.0000  0.0000  0.5000 [1 per cell]
F  0.0000  0.5000  0.0000 [2 per cell]

The calculation puts the formation energy from raw total energies at -12.11 kJ/mol of atoms. As for the calculated total energy: -4.82 eV per atom.

## RbTi2P (GGA-PBEsol)

Data for a geometry-optimized RbTi2P structure.

a = 4.8354 Å, b = 4.8354 Å, c = 17.6979 Å
α = 90.00°, β = 90.00°, γ = 90.00°
Space group I4_1/amd (No. 141, origin choice 2)
Symmetry-distinct sites (fractional):
Rb  0.0000  0.2500  0.3750 [4 per cell]
Ti  0.0000  0.0000  0.0000 [8 per cell]
P  0.0000  0.2500  0.8750 [4 per cell]

As for the calculated total energy: -5.39 eV per atom. For the formation energy, the calculation gives 0.4738 eV/atom.

## TlCrBr (GGA-PBEsol)

Data for a geometry-optimized TlCrBr structure.

a = 6.8179 Å, b = 6.8179 Å, c = 6.8179 Å
α = 90.00°, β = 90.00°, γ = 90.00°
Space group F-43m (No. 216)
Symmetry-distinct sites (fractional):
Tl  0.0000  0.0000  0.0000 [4 per cell]
Cr  0.2500  0.2500  0.2500 [4 per cell]
Br  0.0000  0.0000  0.5000 [4 per cell]

The calculation puts the formation energy from raw total energies at 43.71 kJ/mol of atoms. As for the calculated total energy: -4.46 eV per atom. The value obtained for the offset from the most stable computed form is 211 meV per atom.

## Be2TePRh (GGA-PBEsol)

Data for a geometry-optimized Be2TePRh structure.

a = 4.4231 Å, b = 4.4231 Å, c = 4.8913 Å
α = 90.00°, β = 90.00°, γ = 90.00°
Space group P4/mmm (No. 123)
Symmetry-distinct sites (fractional):
Be  0.0000  0.5000  0.0000 [2 per cell]
Te  0.0000  0.0000  0.0000 [1 per cell]
P  0.5000  0.5000  0.5000 [1 per cell]
Rh  0.0000  0.0000  0.5000 [1 per cell]

The calculation puts the formation energy from raw total energies at 125.44 kJ/mol of atoms. As for the calculated total energy: -3.79 eV per atom.

## Be7Cu6 (GGA-PBEsol)

Data for a geometry-optimized Be7Cu6 structure.

a = 4.2559 Å, b = 4.2559 Å, c = 23.0145 Å
α = 90.00°, β = 90.00°, γ = 120.00°
Space group R-3m (No. 166, hexagonal axes)
Symmetry-distinct sites (fractional):
Be  0.0000  0.0000  0.0000 [3 per cell]
Be  0.0002  0.5001  0.4100 [18 per cell]
Cu  0.0000  0.0000  0.1678 [6 per cell]
Cu  0.0000  0.0000  0.3463 [6 per cell]
Cu  0.0000  0.0000  0.4507 [6 per cell]

As for the calculated total energy: -4.27 eV per atom. For the formation energy, the calculation gives -0.1157 eV/atom.

## MnCrP4 (GGA-PBEsol)

Data for a geometry-optimized MnCrP4 structure.

a = 6.9210 Å, b = 6.9210 Å, c = 6.9210 Å
α = 90.00°, β = 90.00°, γ = 90.00°
Space group F-43m (No. 216)
Symmetry-distinct sites (fractional):
Mn  0.0000  0.0000  0.0000 [4 per cell]
Cr  0.2500  0.2500  0.2500 [4 per cell]
P  0.1261  0.1261  0.6261 [16 per cell]

As for the calculated total energy: -6.49 eV per atom. For the formation energy, the calculation gives 0.7000 eV/atom.

## SmCo3P2 (GGA-PBEsol)

Data for a geometry-optimized SmCo3P2 structure.

a = 3.6839 Å, b = 10.4534 Å, c = 12.1349 Å
α = 90.00°, β = 90.00°, γ = 90.00°
Space group Pmmn (No. 59, origin choice 2)
Symmetry-distinct sites (fractional):
Sm  0.2500  0.0671  0.2058 [4 per cell]
Sm  0.2500  0.2500  0.4783 [2 per cell]
Co  0.2500  0.1310  0.7106 [4 per cell]
Co  0.2500  0.2500  0.0135 [2 per cell]
Co  0.2500  0.5477  0.4300 [4 per cell]
Co  0.2500  0.5836  0.9957 [4 per cell]
Co  0.2500  0.7500  0.1575 [2 per cell]
Co  0.2500  0.7500  0.7040 [2 per cell]
P  0.2500  0.0984  0.8945 [4 per cell]
P  0.2500  0.5578  0.6148 [4 per cell]
P  0.2500  0.7500  0.3409 [2 per cell]
P  0.2500  0.7500  0.8850 [2 per cell]

As for the calculated total energy: -7.63 eV per atom. For the formation energy, the calculation gives -0.9808 eV/atom.

## Al2AgAu (GGA-PBEsol)

Data for a geometry-optimized Al2AgAu structure.

a = 2.9742 Å, b = 2.9742 Å, c = 25.5128 Å
α = 90.00°, β = 90.00°, γ = 120.00°
Space group R-3m (No. 166, hexagonal axes)
Symmetry-distinct sites (fractional):
Al  0.0000  0.0000  0.2488 [6 per cell]
Ag  0.0000  0.0000  0.0000 [3 per cell]
Au  0.0000  0.0000  0.5000 [3 per cell]

As for the calculated total energy: -4.03 eV per atom. For the formation energy, the calculation gives -0.1772 eV/atom.

## LiFePt (GGA-PBEsol)

Data for a geometry-optimized LiFePt structure.

a = 5.7421 Å, b = 5.7421 Å, c = 5.7421 Å
α = 90.00°, β = 90.00°, γ = 90.00°
Space group F-43m (No. 216)
Symmetry-distinct sites (fractional):
Li  0.0000  0.0000  0.0000 [4 per cell]
Fe  0.0000  0.0000  0.5000 [4 per cell]
Pt  0.2500  0.2500  0.2500 [4 per cell]

As for the calculated total energy: -5.73 eV per atom. For the formation energy, the calculation gives 0.2395 eV/atom.

## NbI5 (GGA-PBEsol)

Data for a geometry-optimized NbI5 structure.

a = 6.9669 Å, b = 7.4767 Å, c = 10.1837 Å
α = 108.77°, β = 90.86°, γ = 116.48°
Space group P-1 (No. 2)
Symmetry-distinct sites (fractional):
Nb  0.1064  0.2230  0.2243 [2 per cell]
I  0.0782  0.8160  0.5548 [2 per cell]
I  0.1286  0.6070  0.8491 [2 per cell]
I  0.2471  0.1918  0.9535 [2 per cell]
I  0.3194  0.0026  0.2507 [2 per cell]
I  0.4642  0.5976  0.3368 [2 per cell]

The calculation puts the formation energy from raw total energies at -38.33 kJ/mol of atoms. As for the calculated total energy: -3.67 eV per atom. The value obtained for the offset from the most stable computed form is 0 meV per atom.

## KSb4Ir (GGA-PBEsol)

Data for a geometry-optimized KSb4Ir structure.

a = 8.5790 Å, b = 8.5790 Å, c = 8.5790 Å
α = 90.00°, β = 90.00°, γ = 90.00°
Space group F-43m (No. 216)
Symmetry-distinct sites (fractional):
K  0.0000  0.0000  0.0000 [4 per cell]
Sb  0.1247  0.1247  0.3753 [16 per cell]
Ir  0.2500  0.2500  0.7500 [4 per cell]

The calculation puts the formation energy from raw total energies at 65.85 kJ/mol of atoms. As for the calculated total energy: -4.18 eV per atom.